# Li6VO5F (PBE+U, optimized geometry)
# Raw total energy = -5.6490 eV per atom
# Total magnetic moment = 0.1 μB per formula unit
data_Li6VO5F
_space_group_name_H-M_alt 'P 1'
_space_group_IT_number 1
_cell_length_a 5.589
_cell_length_b 5.614
_cell_length_c 10.285
_cell_angle_alpha 88.68
_cell_angle_beta 88.27
_cell_angle_gamma 60.71
loop_
_space_group_symop_operation_xyz
'x,y,z'
loop_
_atom_site_label
_atom_site_type_symbol
_atom_site_fract_x
_atom_site_fract_y
_atom_site_fract_z
_atom_site_occupancy
Li1 Li 0.000 0.000 0.000 1
Li2 Li 0.002 0.666 0.882 1
Li3 Li 0.015 0.649 0.499 1
Li4 Li 0.287 0.006 0.498 1
Li5 Li 0.300 0.622 0.265 1
Li6 Li 0.346 0.640 0.653 1
Li7 Li 0.366 0.275 0.993 1
Li8 Li 0.618 0.004 0.766 1
Li9 Li 0.628 0.643 0.997 1
Li10 Li 0.636 0.668 0.383 1
Li11 Li 0.646 0.277 0.493 1
Li12 Li 0.678 0.953 0.153 1
V1 V 0.004 0.288 0.243 1
V2 V 0.983 0.304 0.743 1
O1 O 0.007 0.993 0.193 1
O2 O 0.281 0.019 0.689 1
O3 O 0.298 0.293 0.187 1
O4 O 0.345 0.643 0.457 1
O5 O 0.690 0.949 0.957 1
O6 O 0.694 0.297 0.690 1
O7 O 0.702 0.584 0.195 1
O8 O 0.978 0.322 0.413 1
O9 O 0.988 0.604 0.694 1
O10 O 0.992 0.321 0.913 1
F1 F 0.309 0.637 0.951 1
F2 F 0.659 0.949 0.452 1